No. 1
Entry from Alexandria: a geometry-optimized Mn2TcOs structure (GGA-PBE).

The structure belongs to space group Cmm2 (No. 35); the cell edges are 2.854, 4.425 and 8.495 Å and the angles 90.00°, 90.00° and 90.00°. Symmetry generates all atoms from Mn at (0.000, 0.000, 0.000), Mn at (0.000, 0.500, 0.236), Tc at (0.000, 0.000, 0.477) and Os at (0.000, 0.500, 0.753).

For the density of states at the Fermi level, the calculation gives 11.4 states/eV/cell. As for the crystal system: orthorhombic. The calculation puts the total energy at -9.66 eV/atom. For the formation energy, the calculation gives 0.324 eV/atom.

---

No. 2
Entry from Alexandria: a geometry-optimized MnTcOs structure (GGA-PBE).

The structure belongs to space group F-43m (No. 216); the cell edges are 5.661, 5.661 and 5.661 Å and the angles 90.00°, 90.00° and 90.00°. Symmetry generates all atoms from Mn at (0.000, 0.000, 0.000), Tc at (0.250, 0.250, 0.250) and Os at (0.250, 0.250, 0.750).

For the density of states at the Fermi level, the calculation gives 17.7 states/eV/cell. As for the crystal system: cubic. The calculation puts the total energy at -9.70 eV/atom. For the formation energy, the calculation gives 0.556 eV/atom. For the energy above the most stable polymorph in this dataset, the calculation gives 0.471 eV per atom.

---

No. 3
Entry from Alexandria: a geometry-optimized Mn2TcOs structure (GGA-PBE).

The structure belongs to space group C2/m (No. 12); the cell edges are 8.615, 2.656 and 4.622 Å and the angles 90.00°, 100.03° and 90.00°. Symmetry generates all atoms from Mn at (0.248, 0.000, 0.247), Tc at (0.000, 0.000, 0.500) and Os at (0.000, 0.500, 0.000).

For the density of states at the Fermi level, the calculation gives 10.6 states/eV/cell. As for the crystal system: monoclinic. The calculation puts the total energy at -9.85 eV/atom. For the formation energy, the calculation gives 0.138 eV/atom.

---

No. 4
Entry from Alexandria: a geometry-optimized Mn2TcOs2 structure (GGA-PBE).

The structure belongs to space group P4/mbm (No. 127); the cell edges are 7.122, 7.122 and 2.667 Å and the angles 90.00°, 90.00° and 90.00°. Symmetry generates all atoms from Mn at (0.168, 0.332, 0.000), Tc at (0.000, 0.000, 0.500) and Os at (0.128, 0.628, 0.500).

For the density of states at the Fermi level, the calculation gives 9.4 states/eV/cell. As for the crystal system: tetragonal. The calculation puts the total energy at -10.01 eV/atom. For the formation energy, the calculation gives 0.227 eV/atom. For the energy above the most stable polymorph in this dataset, the calculation gives 0.079 eV per atom.

---

No. 5
Entry from Alexandria: a geometry-optimized Mn2TcOs structure (GGA-PBE).

The structure belongs to space group I-42d (No. 122); the cell edges are 5.284, 5.284 and 10.474 Å and the angles 90.00°, 90.00° and 90.00°. Symmetry generates all atoms from Mn at (0.250, 0.250, 0.125), Tc at (0.000, 0.000, 0.000) and Os at (0.000, 0.000, 0.500).

For the density of states at the Fermi level, the calculation gives 18.7 states/eV/cell. As for the crystal system: tetragonal. The calculation puts the total energy at -8.61 eV/atom. For the formation energy, the calculation gives 1.374 eV/atom.

---

No. 6
Entry from Alexandria: a geometry-optimized Mn2TcOs2 structure (GGA-PBE).

The structure belongs to space group P4/mbm (No. 127); the cell edges are 6.998, 6.998 and 2.711 Å and the angles 90.00°, 90.00° and 90.00°. Symmetry generates all atoms from Mn at (0.122, 0.378, 0.000), Tc at (0.000, 0.000, 0.000) and Os at (0.173, 0.673, 0.500).

For the density of states at the Fermi level, the calculation gives 11.9 states/eV/cell. As for the crystal system: tetragonal. The calculation puts the total energy at -10.09 eV/atom. For the formation energy, the calculation gives 0.147 eV/atom. For the energy above the most stable polymorph in this dataset, the calculation gives 0.000 eV per atom.

---

No. 7
Entry from Alexandria: a geometry-optimized MnTcOs4 structure (GGA-PBE).

The structure belongs to space group F-43m (No. 216); the cell edges are 7.203, 7.203 and 7.203 Å and the angles 90.00°, 90.00° and 90.00°. Symmetry generates all atoms from Mn at (0.000, 0.000, 0.000), Tc at (0.250, 0.250, 0.250) and Os at (0.125, 0.125, 0.625).

For the density of states at the Fermi level, the calculation gives 23.2 states/eV/cell. As for the crystal system: cubic. The calculation puts the total energy at -10.14 eV/atom. For the formation energy, the calculation gives 0.603 eV/atom.

---

No. 8
Entry from Alexandria: a geometry-optimized Mn2TcOs structure (GGA-PBE).

The structure belongs to space group Imm2 (No. 44); the cell edges are 3.005, 4.174 and 8.531 Å and the angles 90.00°, 90.00° and 90.00°. Symmetry generates all atoms from Mn at (0.000, 0.000, 0.000), Mn at (0.000, 0.500, 0.259), Tc at (0.000, 0.500, 0.749) and Os at (0.000, 0.000, 0.510).

For the density of states at the Fermi level, the calculation gives 8.7 states/eV/cell. As for the crystal system: orthorhombic. The calculation puts the total energy at -9.87 eV/atom. For the formation energy, the calculation gives 0.109 eV/atom.

---

No. 9
Entry from Alexandria: a geometry-optimized MnTcOs structure (GGA-PBE).

The structure belongs to space group P3m1 (No. 156); the cell edges are 2.6875, 2.6875 and 6.4990 Å and the angles 90.00°, 90.00° and 120.00°. Symmetry generates all atoms from Mn at (0.0000, 0.0000, 0.0000), Tc at (0.6667, 0.3333, 0.6746) and Os at (0.3333, 0.6667, 0.3205).

For the density of states at the Fermi level, the calculation gives 3.7 states/eV/cell. As for the crystal system: trigonal. The calculation puts the total energy at -10.12 eV/atom. For the formation energy, the calculation gives 0.131 eV/atom. For the energy above the most stable polymorph in this dataset, the calculation gives 0.046 eV per atom.

---

No. 10
Entry from Alexandria: a geometry-optimized Mn2TcOs structure (GGA-PBE).

The structure belongs to space group F-43m (No. 216); the cell edges are 5.986, 5.986 and 5.986 Å and the angles 90.00°, 90.00° and 90.00°. Symmetry generates all atoms from Mn at (0.000, 0.000, 0.000), Mn at (0.250, 0.250, 0.250), Tc at (0.250, 0.250, 0.750) and Os at (0.000, 0.000, 0.500).

For the density of states at the Fermi level, the calculation gives 18.3 states/eV/cell. As for the crystal system: cubic. The calculation puts the total energy at -9.77 eV/atom. For the formation energy, the calculation gives 0.209 eV/atom.

---

No. 11
Entry from Alexandria: a geometry-optimized Mn4TcOs structure (GGA-PBE).

The structure belongs to space group F-43m (No. 216); the cell edges are 6.589, 6.589 and 6.589 Å and the angles 90.00°, 90.00° and 90.00°. Symmetry generates all atoms from Mn at (0.125, 0.125, 0.125), Tc at (0.000, 0.000, 0.500) and Os at (0.250, 0.250, 0.750).

For the density of states at the Fermi level, the calculation gives 32.1 states/eV/cell. As for the crystal system: cubic. The calculation puts the total energy at -9.73 eV/atom. For the formation energy, the calculation gives -0.013 eV/atom.

---

No. 12
Entry from Alexandria: a geometry-optimized Mn2TcOs structure (GGA-PBE).

The structure belongs to space group I4/mmm (No. 139); the cell edges are 3.756, 3.756 and 7.313 Å and the angles 90.00°, 90.00° and 90.00°. Symmetry generates all atoms from Mn at (0.000, 0.500, 0.250), Tc at (0.000, 0.000, 0.000) and Os at (0.000, 0.000, 0.500).

For the density of states at the Fermi level, the calculation gives 8.0 states/eV/cell. As for the crystal system: tetragonal. The calculation puts the total energy at -9.90 eV/atom. For the formation energy, the calculation gives 0.080 eV/atom.